Record 1
DFT (GGA-PBE) results for a relaxed TmCu12Ge4 crystal.

The structure in POSCAR format:
```
TmCu12Ge4
1.0
-2.506 6.052 -2.851
-3.847 -5.528 -2.385
-0.484 0.343 7.120
Cu Ge Tm
12 4 1
Cartesian
-3.594 3.267 -1.810
-4.860 1.752 -0.427
-3.961 -3.342 -0.096
-3.945 1.452 3.033
-2.892 -0.585 -1.150
-4.834 -1.474 1.151
-4.748 -0.432 -2.680
-2.089 1.299 4.563
-3.242 -2.400 3.693
-2.876 4.210 1.980
-2.002 2.341 0.732
-1.977 -0.885 2.310
-3.418 0.434 0.942
-1.253 3.026 -1.426
-1.923 -2.764 -1.193
-0.242 0.171 3.560
0.000 0.000 0.000
```

As for the total energy: -3.924 eV per atom. The calculation puts the formation energy at 317 meV per atom. The calculated density comes out at 7.2 g cm⁻³.

***

Record 2
DFT (GGA-PBE) results for a relaxed TmCu12Ge6 crystal.

The structure in POSCAR format:
```
TmCu12Ge6
1.0
6.837 0.075 0.106
-1.622 6.642 0.106
-1.622 -2.089 6.306
Cu Tm Ge
12 1 6
Cartesian
1.874 2.414 5.652
5.075 -0.231 3.258
1.719 2.214 0.865
1.874 4.540 4.142
1.796 5.698 0.856
-1.482 1.475 5.661
1.719 0.087 2.375
1.796 -1.070 5.661
3.934 2.941 4.142
5.075 3.153 0.856
-0.342 1.687 2.375
-1.482 4.859 3.258
0.000 0.000 0.000
3.866 1.319 1.858
0.320 0.412 4.457
-0.273 3.308 4.659
0.320 4.072 1.858
3.273 4.216 2.060
3.273 0.556 4.659
```

As for the total energy: -4.197 eV per atom. The calculation puts the formation energy at 83 meV per atom. The calculated density comes out at 7.8 g cm⁻³.

***

Record 3
DFT (GGA-PBE) results for a relaxed TmCu9Ge2 crystal.

The structure in POSCAR format:
```
TmCu9Ge2
1.0
-1.862 2.374 -3.997
-4.621 -1.058 -1.613
-5.089 6.058 2.832
Cu Tm Ge
9 1 2
Cartesian
-7.597 5.277 -1.195
-4.922 3.304 -3.613
-6.324 1.559 -2.402
-5.248 5.815 -0.376
-7.241 6.479 0.948
-4.331 0.895 -3.725
-3.975 2.097 -1.582
-6.650 4.070 0.836
-5.786 3.687 -1.389
0.000 0.000 0.000
-3.823 3.628 0.799
-7.749 3.745 -3.576
```

As for the total energy: -4.267 eV per atom. The calculation puts the formation energy at -53 meV per atom. The calculated density comes out at 8.6 g cm⁻³.